Here is a relaxed structure of HoScCdRu from Alexandria via LeMat-Bulk. Energies are from PBE.

abc: 4.886 4.886 4.886
angles: 60.00 60.00 60.00
Sites, in units of the cell vectors:
Sc 0.500 0.500 0.500
Ru 0.250 0.250 0.250
Ho 0.000 0.000 0.000
Cd 0.750 0.750 0.750

Summary:
E above lowest polymorph in meV per atom: 139
Crystal system: cubic
E_form in eV/atom: -0.321
M_tot in μB/cell: 0.00